BaDyH: relaxed, PBE-GGA.

Cell and atoms, written as POSCAR:
```
BaDyH
1.0
-3.285 1.543 -1.345
-0.610 0.223 -3.815
-5.748 -11.778 0.067
H Dy Ba
2 2 2
Direct
0.206 0.206 0.795
0.547 0.547 0.513
0.540 0.540 0.763
0.213 0.213 0.544
0.201 0.201 0.001
0.552 0.552 0.306
```

Magnetization ... 0.00 μB/cell
Crystal system ... monoclinic
Total DFT energy (no corrections) ... -3.462 eV/atom
Calculated volume ... 170 Å³/cell
Symmetry ... No. 12